[1]
! BeSb2Te (GGA-PBEsol, relaxed); values from VASP
! SG: Cmmm (65)
! Uncorrected formation energy: 274 meV per atom
! Magnetization: 0.00 μB/f.u.
! ΔE to the lowest computed polymorph: 72 meV per atom
&SYSTEM
  ibrav = 0, nat = 4, ntyp = 3
/
ATOMIC_SPECIES
Sb 121.76 Sb.upf
Te 127.60 Te.upf
Be 9.01 Be.upf
ATOMIC_POSITIONS crystal
Sb 0.0000 0.0000 0.1758
Sb 0.0000 0.0000 0.8242
Te 0.5000 0.5000 0.5000
Be 0.5000 0.5000 0.0000
CELL_PARAMETERS angstrom
3.2529 -0.0063 0.0000
-0.7896 3.1556 0.0000
0.0000 0.0000 9.0472

[2]
! Li2FeF6 (GGA-PBEsol, relaxed); values from VASP
! SG: P321 (150)
! Uncorrected formation energy: -2430 meV per atom
! Magnetization: 2.00 μB/f.u.
! ΔE to the lowest computed polymorph: 0 meV per atom
&SYSTEM
  ibrav = 0, nat = 27, ntyp = 3
/
ATOMIC_SPECIES
Li 6.94 Li.upf
Fe 55.84 Fe.upf
F 19.00 F.upf
ATOMIC_POSITIONS crystal
Li 0.0001 0.6376 0.0000
Li 0.4997 0.3016 0.0000
Li 0.9999 0.0000 0.3624
Li 0.5000 0.6985 0.3015
Li 0.5003 0.0000 0.6984
Li 0.0000 0.3624 0.6376
Fe 0.5101 0.3334 0.3333
Fe 0.0000 0.0000 0.0000
Fe 0.4899 0.6667 0.6666
F 0.7791 0.7937 0.0970
F 0.2870 0.5390 0.2226
F 0.7331 0.4206 0.1283
F 0.7332 0.4510 0.4206
F 0.7786 0.0970 0.1092
F 0.2870 0.2226 0.2385
F 0.2209 0.9030 0.2063
F 0.7332 0.1284 0.4509
F 0.2871 0.2385 0.5391
F 0.7130 0.7774 0.4610
F 0.2669 0.8717 0.5794
F 0.7791 0.1091 0.7937
F 0.2668 0.5794 0.5490
F 0.7130 0.7615 0.7774
F 0.2214 0.8908 0.9030
F 0.7129 0.4609 0.7615
F 0.2668 0.5491 0.8716
F 0.2209 0.2063 0.8909
CELL_PARAMETERS angstrom
4.5541 -0.0203 -0.0120
0.0393 8.3233 0.0810
0.0393 4.0917 7.2486

[3]
! AlV2O4 (GGA-PBEsol, relaxed); values from VASP
! SG: P2_1/c (14)
! Uncorrected formation energy: -2425 meV per atom
! Magnetization: 2.00 μB/f.u.
! ΔE to the lowest computed polymorph: 9 meV per atom
&SYSTEM
  ibrav = 0, nat = 28, ntyp = 3
/
ATOMIC_SPECIES
Al 26.98 Al.upf
V 50.94 V.upf
O 16.00 O.upf
ATOMIC_POSITIONS crystal
Al 0.9954 0.2409 0.3771
Al 0.5046 0.7591 0.8771
Al 0.0046 0.7591 0.6229
Al 0.4954 0.2409 0.1229
V 0.5000 0.0000 0.5000
V 0.0000 0.5000 0.0000
V 0.7637 0.2631 0.7572
V 0.2364 0.7369 0.2428
V 0.0000 0.0000 0.0000
V 0.5000 0.5000 0.5000
V 0.2636 0.2631 0.7428
V 0.7363 0.7369 0.2572
O 0.0116 0.0098 0.7524
O 0.4887 0.4924 0.2481
O 0.9884 0.9902 0.2476
O 0.5113 0.5076 0.7519
O 0.9887 0.4924 0.2519
O 0.5116 0.0098 0.7476
O 0.2470 0.7534 0.4942
O 0.7485 0.2469 0.0050
O 0.7515 0.7531 0.5050
O 0.2530 0.2466 0.9942
O 0.7530 0.2466 0.5058
O 0.2515 0.7531 0.9950
O 0.0113 0.5076 0.7481
O 0.4884 0.9902 0.2524
O 0.2485 0.2469 0.4950
O 0.7470 0.7534 0.0058
CELL_PARAMETERS angstrom
5.8485 0.0603 0.0000
-0.0243 5.7185 0.0000
0.0000 0.0000 8.1827